[1]
MnGePHCN | Alexandria | PBE | relaxed; volume = 12.75 A^3/atom; total magnetization = 0.181 μB per atom; relative energy among the computed polymorphs = 10.0 kJ/mol of atoms
1.0
2.872 0.000 -0.002
0.000 4.872 -0.009
-1.406 -2.385 5.475
N Mn P Ge H C
1 1 1 1 1 1
direct
0.022 0.726 0.365
0.033 0.360 0.389
0.694 0.500 0.716
0.791 0.095 0.911
0.453 0.270 0.224
0.023 0.970 0.367

***

[2]
Rb2HfSc2Te6 | Alexandria | PBE | relaxed; volume = 36.62 A^3/atom; formation energy from raw total energies = -1.14 eV/atom; total magnetization = 0.000 μB per atom
1.0
-6.288 2.867 -2.273
1.186 -0.986 7.109
5.210 7.413 -1.106
Te Sc Rb Hf
6 2 2 1
direct
0.394 0.067 0.690
0.733 0.733 0.688
0.267 0.267 0.312
0.606 0.933 0.310
0.067 0.394 0.690
0.933 0.606 0.310
0.332 0.668 0.500
0.668 0.332 0.500
0.833 0.167 0.000
0.167 0.833 0.000
0.000 0.000 0.500

***

[3]
Na2ScUO5 | Alexandria | PBE | relaxed; volume = 15.85 A^3/atom; formation energy from raw total energies = -2.44 eV/atom; total magnetization = 0.109 μB per atom
1.0
4.149 0.000 0.000
0.000 4.149 0.000
0.000 0.000 8.285
O Sc Na U
5 1 2 1
direct
0.000 0.000 0.237
0.500 0.500 0.000
0.000 0.000 0.763
0.500 0.000 0.500
0.000 0.500 0.500
0.000 0.000 0.000
0.500 0.500 0.266
0.500 0.500 0.734
0.000 0.000 0.500

***

[4]
CaTlOsI2 | Alexandria | PBE | relaxed; volume = 32.26 A^3/atom; formation energy from raw total energies = 0.33 eV/atom; total magnetization = 0.000 μB per atom
1.0
5.474 0.000 0.000
0.000 5.383 0.000
0.000 0.000 5.474
Os I Ca Tl
1 2 1 1
direct
0.000 0.000 0.000
0.000 0.000 0.500
0.500 0.000 0.000
0.000 0.500 0.000
0.500 0.500 0.500

***

[5]
La2TlTe | Alexandria | PBE | relaxed; volume = 47.25 A^3/atom; formation energy from raw total energies = -0.38 eV/atom; total magnetization = 0.000 μB per atom; relative energy among the computed polymorphs = 59.8 kJ/mol of atoms
1.0
6.923 0.000 0.000
0.000 6.923 0.000
3.461 3.461 7.887
Te Tl La
2 2 4
direct
0.250 0.750 0.500
0.500 0.500 0.000
0.000 0.000 0.000
0.750 0.250 0.500
0.119 0.625 0.250
0.875 0.881 0.750
0.375 0.369 0.750
0.631 0.125 0.250

***

[6]
TaHgCl2 | Alexandria | PBE | relaxed; volume = 23.35 A^3/atom; formation energy from raw total energies = -0.58 eV/atom; total magnetization = 0.000 μB per atom; relative energy among the computed polymorphs = 0.0 kJ/mol of atoms
1.0
1.826 0.000 10.777
-0.913 1.582 10.777
-0.913 -1.582 10.777
Hg Cl Ta
1 2 1
direct
0.000 0.000 0.000
0.889 0.889 0.889
0.111 0.111 0.111
0.500 0.500 0.500

***

[7]
Hf3HgOs | Alexandria | PBE | relaxed; volume = 25.32 A^3/atom; total magnetization = 0.000 μB per atom; relative energy among the computed polymorphs = 0.0 kJ/mol of atoms; formation enthalpy at 0 K = 1.9 eV per formula unit
1.0
5.021 0.000 0.000
0.000 5.021 0.000
0.000 0.000 5.021
Hf Os Hg
3 1 1
direct
0.000 0.000 0.500
0.500 0.000 0.000
0.000 0.500 0.000
0.000 0.000 0.000
0.500 0.500 0.500

***

[8]
SrTl6Hg6 | Alexandria | PBE | relaxed; volume = 29.81 A^3/atom; total magnetization = 0.000 μB per atom; formation enthalpy at 0 K = -0.7 eV per formula unit
1.0
6.597 -0.269 0.000
-3.531 5.579 0.000
0.000 0.000 10.807
Hg Tl Sr
6 6 1
direct
0.500 0.500 0.205
0.500 0.000 0.735
0.500 0.000 0.265
0.000 0.500 0.735
0.000 0.500 0.265
0.500 0.500 0.795
0.694 0.306 0.000
0.306 0.694 0.000
0.363 0.637 0.500
0.000 0.000 0.652
0.637 0.363 0.500
0.000 0.000 0.348
0.000 0.000 0.000

***

- The highest total magnetization belongs to which entry?
  MnGePHCN